[1]
KCd3Rh | Alexandria via LeMat-Bulk | PBE | optimized geometry; theoretical density = 4.525 g/cm3; SG = Fd-3m, No. 227; raw total energy = -43.49 eV per cell; DFT formation energy = 0.0645 eV per atom; energy relative to the lowest polymorph listed for this composition = 0.180 eV/atom; magnetic moment = 0.00 μB per formula unit
1.0
0.0000 7.0587 7.0587
7.0587 0.0000 7.0587
7.0587 7.0587 0.0000
K Cd Rh
4 12 4
Direct
0.0000 0.0000 0.0000 K
0.0000 0.0000 0.5000 K
0.0000 0.5000 0.0000 K
0.5000 0.0000 0.0000 K
0.1932 0.1932 0.5568 Cd
0.1932 0.5568 0.1932 Cd
0.1932 0.5568 0.5568 Cd
0.4432 0.4432 0.8068 Cd
0.4432 0.8068 0.4432 Cd
0.4432 0.8068 0.8068 Cd
0.5568 0.1932 0.1932 Cd
0.5568 0.1932 0.5568 Cd
0.5568 0.5568 0.1932 Cd
0.8068 0.4432 0.4432 Cd
0.8068 0.4432 0.8068 Cd
0.8068 0.8068 0.4432 Cd
0.0000 0.5000 0.5000 Rh
0.5000 0.0000 0.5000 Rh
0.5000 0.5000 0.0000 Rh
0.5000 0.5000 0.5000 Rh

---

[2]
KCdRh2 | Alexandria via LeMat-Bulk | PBE | optimized geometry; theoretical density = 6.779 g/cm3; SG = P4/mmm, No. 123; raw total energy = -14.82 eV per cell; DFT formation energy = 0.4735 eV per atom; magnetic moment = 1.29 μB per formula unit
1.0
3.4389 0.0000 0.0000
0.0000 3.4389 0.0000
0.0000 0.0000 7.4016
K Cd Rh
1 1 2
Direct
0.0000 0.0000 0.0000 K
0.0000 0.0000 0.5000 Cd
0.5000 0.5000 0.3211 Rh
0.5000 0.5000 0.6789 Rh

---

[3]
KCd3Rh | Alexandria via LeMat-Bulk | PBE | optimized geometry; theoretical density = 6.301 g/cm3; SG = C2/c, No. 15; raw total energy = -44.71 eV per cell; DFT formation energy = 0.0032 eV per atom; energy relative to the lowest polymorph listed for this composition = 0.119 eV/atom; magnetic moment = 0.00 μB per formula unit
1.0
5.5654 -5.5008 0.0000
5.5654 5.5008 0.0000
-0.8155 0.0000 8.2513
K Cd Rh
4 12 4
Direct
0.0142 0.7983 0.8890 K
0.2017 0.9858 0.6110 K
0.7983 0.0142 0.3890 K
0.9858 0.2017 0.1110 K
0.1062 0.3838 0.7715 Cd
0.1783 0.5507 0.4720 Cd
0.3066 0.4901 0.0760 Cd
0.3838 0.1062 0.2715 Cd
0.4493 0.8217 0.0280 Cd
0.4901 0.3066 0.5760 Cd
0.5099 0.6934 0.4240 Cd
0.5507 0.1783 0.9720 Cd
0.6162 0.8938 0.7285 Cd
0.6934 0.5099 0.9240 Cd
0.8217 0.4493 0.5280 Cd
0.8938 0.6162 0.2285 Cd
0.2100 0.7900 0.2500 Rh
0.3978 0.6022 0.7500 Rh
0.6022 0.3978 0.2500 Rh
0.7900 0.2100 0.7500 Rh

---

[4]
KCd3Rh | Alexandria via LeMat-Bulk | PBE | optimized geometry; theoretical density = 6.653 g/cm3; SG = P6_3/mmc, No. 194; raw total energy = -21.98 eV per cell; DFT formation energy = 0.0408 eV per atom; energy relative to the lowest polymorph listed for this composition = 0.156 eV/atom; magnetic moment = 0.00 μB per formula unit
1.0
5.0430 0.0000 0.0000
-2.5215 4.3673 0.0000
0.0000 0.0000 10.8618
K Cd Rh
2 6 2
Direct
0.3333 0.6667 0.2500 K
0.6667 0.3333 0.7500 K
0.0000 0.0000 0.2500 Cd
0.0000 0.0000 0.7500 Cd
0.3333 0.6667 0.5508 Cd
0.3333 0.6667 0.9492 Cd
0.6667 0.3333 0.0508 Cd
0.6667 0.3333 0.4492 Cd
0.0000 0.0000 0.0000 Rh
0.0000 0.0000 0.5000 Rh

---

[5]
KCdRh2 | Alexandria via LeMat-Bulk | PBE | optimized geometry; theoretical density = 5.650 g/cm3; SG = I-42d, No. 122; raw total energy = -28.82 eV per cell; DFT formation energy = 0.5768 eV per atom; magnetic moment = 0.00 μB per formula unit
1.0
-2.3235 2.3235 9.7266
2.3235 -2.3235 9.7266
2.3235 2.3235 -9.7266
K Cd Rh
2 2 4
Direct
0.0000 0.0000 0.0000 K
0.7500 0.2500 0.5000 K
0.2500 0.7500 0.5000 Cd
0.5000 0.5000 0.0000 Cd
0.2882 0.6250 0.1632 Rh
0.3750 0.5382 0.6632 Rh
0.4618 0.1250 0.8368 Rh
0.8750 0.7118 0.3368 Rh

---

[6]
KCd3Rh | Alexandria via LeMat-Bulk | PBE | optimized geometry; theoretical density = 6.253 g/cm3; SG = C2/m, No. 12; raw total energy = -22.87 eV per cell; DFT formation energy = -0.0480 eV per atom; energy relative to the lowest polymorph listed for this composition = 0.067 eV/atom; magnetic moment = 0.00 μB per formula unit
1.0
9.5246 -2.3778 0.0000
9.5246 2.3778 0.0000
-1.3552 0.0000 5.6196
K Cd Rh
2 6 2
Direct
0.0785 0.0785 0.3890 K
0.9215 0.9215 0.6110 K
0.1613 0.1613 0.9555 Cd
0.2764 0.2764 0.6758 Cd
0.4348 0.4348 0.1004 Cd
0.5652 0.5652 0.8996 Cd
0.7236 0.7236 0.3242 Cd
0.8387 0.8387 0.0445 Cd
0.3010 0.3010 0.2136 Rh
0.6990 0.6990 0.7864 Rh

---

[7]
KCdRh2 | Alexandria via LeMat-Bulk | PBE | optimized geometry; theoretical density = 7.244 g/cm3; SG = Imm2, No. 44; raw total energy = -15.10 eV per cell; DFT formation energy = 0.4034 eV per atom; magnetic moment = 0.26 μB per formula unit
1.0
-1.4266 2.6270 5.4641
1.4266 -2.6270 5.4641
1.4266 2.6270 -5.4641
K Cd Rh
1 1 2
Direct
0.0000 0.0000 0.0000 K
0.7043 0.2043 0.5000 Cd
0.2807 0.7807 0.5000 Rh
0.4748 0.4748 0.0000 Rh

---

[8]
KCdRh2 | Alexandria via LeMat-Bulk | PBE | optimized geometry; theoretical density = 7.710 g/cm3; SG = R3m, No. 160; raw total energy = -14.92 eV per cell; DFT formation energy = 0.4493 eV per atom; magnetic moment = 0.00 μB per formula unit
1.0
1.4634 0.8449 10.3737
-1.4634 0.8449 10.3737
0.0000 -1.6898 10.3737
K Cd Rh
1 1 2
Direct
0.0000 0.0000 0.0000 K
0.2294 0.2294 0.2294 Cd
0.4870 0.4870 0.4870 Rh
0.7545 0.7545 0.7545 Rh

---

[9]
KCdRh2 | Alexandria via LeMat-Bulk | PBE | optimized geometry; theoretical density = 7.829 g/cm3; SG = Pmmm, No. 47; raw total energy = -14.34 eV per cell; DFT formation energy = 0.5939 eV per atom; magnetic moment = 0.52 μB per formula unit
1.0
2.9453 0.0000 0.0000
0.0000 5.0066 0.0000
0.0000 0.0000 5.1398
K Cd Rh
1 1 2
Direct
0.0000 0.0000 0.0000 K
0.5000 0.0000 0.5000 Cd
0.0000 0.5000 0.5000 Rh
0.5000 0.5000 0.0000 Rh

---

[10]
KCd3Rh | Alexandria via LeMat-Bulk | PBE | optimized geometry; theoretical density = 6.065 g/cm3; SG = P-1, No. 2; raw total energy = -23.34 eV per cell; DFT formation energy = -0.0953 eV per atom; energy relative to the lowest polymorph listed for this composition = 0.020 eV/atom; magnetic moment = 0.00 μB per formula unit
1.0
5.4845 0.0000 0.0000
0.0137 7.2532 0.0000
0.3928 3.6241 6.5972
K Cd Rh
2 6 2
Direct
0.9997 0.1464 0.2074 K
0.0003 0.8536 0.7926 K
0.1279 0.4035 0.6922 Cd
0.5000 0.0000 0.0000 Cd
0.4996 0.1941 0.4997 Cd
0.5000 0.5000 0.0000 Cd
0.5004 0.8059 0.5003 Cd
0.8721 0.5965 0.3078 Cd
0.3687 0.6036 0.2932 Rh
0.6313 0.3964 0.7068 Rh

---

[11]
KCdRh3 | Alexandria via LeMat-Bulk | PBE | optimized geometry; theoretical density = 7.186 g/cm3; SG = Pm-3m, No. 221; raw total energy = -14.37 eV per cell; DFT formation energy = 1.9398 eV per atom; energy relative to the lowest polymorph listed for this composition = 0.676 eV/atom; magnetic moment = 1.45 μB per formula unit
1.0
4.7379 0.0000 0.0000
0.0000 4.7379 0.0000
0.0000 0.0000 4.7379
K Cd Rh
1 1 3
Direct
0.0000 0.0000 0.0000 K
0.5000 0.5000 0.5000 Cd
0.0000 0.0000 0.5000 Rh
0.0000 0.5000 0.0000 Rh
0.5000 0.0000 0.0000 Rh

---

[12]
KCd9Rh2 | Alexandria via LeMat-Bulk | PBE | optimized geometry; theoretical density = 7.770 g/cm3; SG = I4_1/amd, No. 141; raw total energy = -50.46 eV per cell; DFT formation energy = -0.0995 eV per atom; energy relative to the lowest polymorph listed for this composition = 0.000 eV/atom; magnetic moment = 0.00 μB per formula unit
1.0
-5.9134 5.9134 3.8400
5.9134 -5.9134 3.8400
5.9134 5.9134 -3.8400
K Cd Rh
2 18 4
Direct
0.3750 0.6250 0.7500 K
0.6250 0.3750 0.2500 K
0.1250 0.8750 0.2500 Cd
0.1410 0.5676 0.3307 Cd
0.1410 0.8102 0.5734 Cd
0.1898 0.2631 0.3307 Cd
0.1898 0.8590 0.9266 Cd
0.2631 0.1898 0.8307 Cd
0.2631 0.4324 0.0734 Cd
0.4324 0.2631 0.5734 Cd
0.4324 0.8590 0.1693 Cd
0.5676 0.1410 0.8307 Cd
0.5676 0.7369 0.4266 Cd
0.7369 0.5676 0.9266 Cd
0.7369 0.8102 0.1693 Cd
0.8102 0.1410 0.0734 Cd
0.8102 0.7369 0.6693 Cd
0.8590 0.1898 0.4266 Cd
0.8590 0.4324 0.6693 Cd
0.8750 0.1250 0.7500 Cd
0.0000 0.0000 0.0000 Rh
0.0000 0.0000 0.5000 Rh
0.0000 0.5000 0.0000 Rh
0.5000 0.0000 0.5000 Rh